5
Lattice="5.198 0.000 0.000 0.000 4.987 0.000 0.000 0.000 5.198" Properties=species:S:1:pos:R:3 comment="Nb2GaHgAs, relaxed, DFT GGA-PBE" e_tot_ev_per_atom=-3.903 density_g_cm3=6.543 e_form_ev_per_atom=1.72 relative_energy_ev_per_atom=1.019 sg="P4/mmm (123)" pbc="T T T"
As 0.000 2.494 0.000
Nb 0.000 0.000 2.599
Nb 2.599 0.000 0.000
Hg 0.000 0.000 0.000
Ga 2.599 2.494 2.599

=====

20
Lattice="-4.571 -4.182 0.817 1.004 -2.469 6.454 -5.703 3.839 1.219" Properties=species:S:1:pos:R:3 comment="Ga2HgAsO6, relaxed, DFT GGA-PBE" e_tot_ev_per_atom=-5.293 density_g_cm3=6.111 sg="C2/c (15)" e_form_raw_ev_per_atom=-1.2174 pbc="T T T"
Ga -3.984 -1.026 5.522
Ga -1.966 -0.668 3.367
Ga -5.286 -1.786 2.968
Ga -7.305 -2.144 5.122
Hg -0.843 -2.852 6.109
Hg -8.428 0.040 2.381
As -5.471 1.501 2.496
As -3.799 -4.312 5.993
O -4.417 -0.231 7.321
O -1.353 -1.632 1.708
O -4.853 -2.581 1.168
O -7.917 -1.180 6.781
O -3.151 -2.583 6.330
O -0.450 -1.319 4.392
O -6.119 -0.229 2.160
O -8.820 -1.492 4.097
O -2.732 0.313 5.052
O -3.517 -1.725 3.603
O -6.538 -3.125 3.437
O -5.753 -1.087 4.887

=====

5
Lattice="4.770 0.000 0.000 0.000 5.351 0.000 0.000 0.000 4.770" Properties=species:S:1:pos:R:3 comment="Ga2HgAsPt, relaxed, DFT GGA-PBE" e_tot_ev_per_atom=-3.296 density_g_cm3=8.319 e_form_ev_per_atom=0.11 sg="P4/mmm (123)" pbc="T T T"
As 2.385 2.675 2.385
Ga 0.000 0.000 2.385
Ga 2.385 0.000 0.000
Hg 0.000 2.675 0.000
Pt 0.000 0.000 0.000

=====

5
Lattice="6.805 0.000 0.000 0.000 6.805 0.000 0.000 0.000 4.899" Properties=species:S:1:pos:R:3 comment="Rb2GaHgAs, relaxed, DFT GGA-PBE" e_tot_ev_per_atom=-2.102 density_g_cm3=3.778 e_form_ev_per_atom=-0.12 sg="P4/mmm (123)" pbc="T T T"
As 0.000 0.000 0.000
Ga 0.000 0.000 2.450
Hg 3.403 3.403 2.450
Rb 0.000 3.403 0.000
Rb 3.403 0.000 0.000

=====

20
Lattice="-1.620 3.561 5.865 -5.006 -5.249 4.330 5.913 -2.323 5.570" Properties=species:S:1:pos:R:3 comment="Ga2HgAsS6, relaxed, DFT GGA-PBE" e_tot_ev_per_atom=-3.819 density_g_cm3=4.275 sg="C2/c (15)" e_form_raw_ev_per_atom=-0.2425 pbc="T T T"
Ga -0.738 -4.507 8.584
Ga -0.958 -1.765 4.046
Ga 0.024 0.496 7.181
Ga 0.244 -2.246 11.720
Hg -3.213 -3.770 6.046
Hg 2.500 -0.241 9.719
As 3.141 -2.067 6.767
As -3.855 -1.944 8.998
S -0.335 -6.576 9.566
S -1.435 0.284 3.055
S -0.379 2.565 6.199
S 0.721 -4.295 12.710
S -3.073 -4.341 8.416
S -2.881 -3.072 3.730
S 2.359 0.330 7.349
S 2.167 -0.939 12.035
S -0.112 -4.793 6.375
S -1.034 -1.331 6.316
S -0.602 0.782 9.390
S 0.320 -2.680 9.449

=====

5
Lattice="-0.781 4.605 -2.302 -5.056 -0.860 -0.006 -0.392 2.269 4.671" Properties=species:S:1:pos:R:3 comment="Ga2HgAsS, relaxed, DFT GGA-PBE" e_tot_ev_per_atom=-2.312 density_g_cm3=5.338 sg="P4/mmm (123)" e_form_raw_ev_per_atom=0.7140 pbc="T T T"
S -3.114 3.007 1.181
As -2.528 -0.430 -0.003
Hg 0.000 0.000 0.000
Ga -0.196 1.134 2.335
Ga -0.390 2.302 -1.151

=====

5
Lattice="-1.285 -4.979 -1.354 4.663 -0.506 -2.565 2.261 -1.797 4.465" Properties=species:S:1:pos:R:3 comment="GaHg2AsSe, relaxed, DFT GGA-PBE" e_tot_ev_per_atom=-2.100 density_g_cm3=6.865 sg="P4/mmm (123)" e_form_raw_ev_per_atom=0.2526 pbc="T T T"
As 0.000 0.000 0.000
Ga 2.819 -3.641 0.273
Hg 1.130 -0.899 2.232
Hg -0.642 -2.490 -0.677
Se 2.331 -0.253 -1.282

=====

5
Lattice="-3.964 -1.621 -2.805 1.856 -5.077 0.312 -2.723 -0.733 4.272" Properties=species:S:1:pos:R:3 comment="Ga2SnHgAs, relaxed, DFT GGA-PBE" e_tot_ev_per_atom=-2.460 density_g_cm3=6.246 e_form_ev_per_atom=0.54 sg="P4/mmm (123)" pbc="T T T"
As 0.928 -2.538 0.156
Hg 0.000 0.000 0.000
Ga -1.361 -0.367 2.136
Ga -1.982 -0.811 -1.402
Sn -2.415 -3.716 0.890

=====

8
Lattice="5.813 0.000 0.000 0.000 5.813 0.000 0.000 0.000 5.813" Properties=species:S:1:pos:R:3 comment="Ho4GaAs3, relaxed, DFT GGA-PBE" e_tot_ev_per_atom=-5.586 density_g_cm3=8.068 e_form_ev_per_atom=-1.18 sg="Pm-3m (221)" pbc="T T T"
As 0.000 2.906 2.906
As 2.906 0.000 2.906
As 2.906 2.906 0.000
Ho 2.906 0.000 0.000
Ho 0.000 2.906 0.000
Ho 0.000 0.000 2.906
Ho 2.906 2.906 2.906
Ga 0.000 0.000 0.000

=====

15
Lattice="-4.746 -1.126 3.892 2.114 -4.530 -3.734 5.820 -2.531 6.365" Properties=species:S:1:pos:R:3 comment="Ho3GaAs2Rh9, relaxed, DFT GGA-PBE" e_tot_ev_per_atom=-6.583 density_g_cm3=8.988 e_form_ev_per_atom=-0.43 sg="P-3m1 (164)" pbc="T T T"
Ho 4.089 -5.248 3.467
Ho 0.000 0.000 0.000
Ho -0.900 -2.938 3.055
Ga 2.910 -1.265 3.182
As 0.851 -3.840 -0.073
As 2.338 -4.346 6.596
Rh 0.437 -3.438 7.437
Rh 1.661 -6.061 5.275
Rh 3.185 -2.787 5.183
Rh 0.004 -5.400 1.339
Rh 1.527 -2.125 1.248
Rh 2.751 -4.748 -0.915
Rh -2.373 -0.563 1.946
Rh 1.057 -2.265 -1.867
Rh -1.316 -2.828 0.079

=====

8
Lattice="3.947 0.000 0.000 0.000 6.998 -0.177 0.000 2.427 6.556" Properties=species:S:1:pos:R:3 comment="Ho4GaAsS2, relaxed, DFT GGA-PBE" e_tot_ev_per_atom=-5.779 density_g_cm3=7.892 sg="P2/m (10)" e_form_raw_ev_per_atom=-1.4984 pbc="T T T"
Ho 0.000 7.070 4.771
Ho 3.947 2.355 1.607
Ho 1.973 5.889 1.479
Ho 1.973 3.535 4.900
Ga 0.000 4.712 3.189
As 1.973 3.499 -0.089
S 0.000 2.427 6.556
S 1.973 1.214 3.278

=====

16
Lattice="8.065 0.000 0.000 0.000 8.364 0.204 -4.033 -4.027 5.706" Properties=species:S:1:pos:R:3 comment="Ho8Ga3AsSe4, relaxed, DFT GGA-PBE" e_tot_ev_per_atom=-5.290 density_g_cm3=8.140 sg="R-3m (166)" e_form_raw_ev_per_atom=-1.2716 pbc="T T T"
Ho -2.025 2.210 5.841
Ho 0.000 4.233 2.975
Ho 0.000 0.066 2.896
Ho 2.025 2.210 5.841
Ho 2.007 2.127 0.070
Ho 4.033 4.271 3.014
Ho 4.033 0.104 2.935
Ho 6.058 2.127 0.070
Ga 4.033 4.182 0.102
Ga 2.016 2.168 2.955
Ga -2.016 2.168 2.955
As 0.000 4.182 0.102
Se 4.033 0.000 0.000
Se 2.016 -2.013 2.853
Se 0.000 0.000 0.000
Se -2.016 -2.013 2.853

=====

12
Lattice="-0.636 -3.931 -0.724 5.553 -1.970 5.820 -7.391 2.377 4.903" Properties=species:S:1:pos:R:3 comment="Ho6GaAs2Se3, relaxed, DFT GGA-PBE" e_tot_ev_per_atom=-5.703 density_g_cm3=8.222 sg="C2/m (12)" e_form_raw_ev_per_atom=-1.5159 pbc="T T T"
Ho -0.133 -1.519 8.371
Ho 0.265 -2.962 4.538
Ho -2.342 -2.004 1.629
Ho 1.340 -0.482 1.442
Ho -3.815 -3.041 8.558
Ho -2.740 -0.562 5.462
Ga -0.318 -1.966 -0.362
As -1.759 -3.002 6.534
As -0.716 -0.522 3.465
Se 2.458 -2.951 2.548
Se -4.489 -2.024 3.622
Se 2.014 -1.500 6.377

=====

8
Lattice="4.147 0.000 0.000 0.000 7.356 0.169 0.000 -2.532 7.031" Properties=species:S:1:pos:R:3 comment="Ho4GaTe2As, relaxed, DFT GGA-PBE" e_tot_ev_per_atom=-5.240 density_g_cm3=8.135 sg="P2/m (10)" e_form_raw_ev_per_atom=-1.2066 pbc="T T T"
Ho 2.074 1.229 1.580
Ho 2.074 3.595 5.621
Ho 0.000 -0.056 5.489
Ho 0.000 4.880 1.712
Ga 2.074 3.678 0.085
Te 2.074 -1.266 3.516
Te 0.000 2.412 3.600
As 0.000 0.000 0.000

=====

12
Lattice="-0.648 -1.796 -3.702 3.675 -7.242 2.872 -8.697 -0.077 3.903" Properties=species:S:1:pos:R:3 comment="Ho6GaTe3As2, relaxed, DFT GGA-PBE" e_tot_ev_per_atom=-5.402 density_g_cm3=8.184 sg="C2/m (12)" e_form_raw_ev_per_atom=-1.3007 pbc="T T T"
Ho -2.843 -7.197 3.990
Ho -1.376 -5.338 0.488
Ho -2.826 -1.919 -0.918
Ho 0.767 -1.706 0.694
Ho -6.437 -7.409 2.379
Ho -4.294 -3.778 2.585
Ga -0.324 -0.898 -1.851
Te 1.513 -4.519 -0.415
Te -5.682 -2.762 -0.009
Te 0.013 -6.354 3.081
As -3.885 -6.363 1.424
As -1.785 -2.753 1.648

=====

11
Lattice="8.432 -0.074 -0.051 0.915 8.628 -1.026 0.915 2.006 8.454" Properties=species:S:1:pos:R:3 comment="GaAs2I8, relaxed, DFT GGA-PBE" e_tot_ev_per_atom=-2.408 density_g_cm3=3.238 sg="C2/m (12)" e_form_raw_ev_per_atom=-0.1602 pbc="T T T"
Ga 0.000 0.000 0.000
As 5.540 1.639 1.145
As 4.722 8.921 6.231
I 2.058 1.549 5.627
I 2.058 5.816 -0.482
I 8.205 9.011 1.749
I 5.241 6.822 4.765
I 8.205 4.744 7.859
I 2.530 1.000 0.698
I 7.732 9.560 6.678
I 5.021 3.738 2.611

=====

4
Lattice="0.000 3.843 3.843 3.843 0.000 3.843 3.843 3.843 0.000" Properties=species:S:1:pos:R:3 comment="GaAsI2, relaxed, DFT GGA-PBE" e_tot_ev_per_atom=-2.318 density_g_cm3=5.830 relative_energy_ev_per_atom=0.129 sg="Fm-3m (225)" e_form_raw_ev_per_atom=0.3761 pbc="T T T"
I 1.921 1.921 1.921
I 5.764 5.764 5.764
As 3.843 3.843 3.843
Ga 0.000 0.000 0.000

=====

8
Lattice="5.964 0.000 0.000 0.000 5.964 0.000 2.982 2.982 9.037" Properties=species:S:1:pos:R:3 comment="GaAsI2, relaxed, DFT GGA-PBE" e_tot_ev_per_atom=-2.447 density_g_cm3=4.116 relative_energy_ev_per_atom=0.000 sg="I-42d (122)" e_form_raw_ev_per_atom=0.2475 pbc="T T T"
I 4.765 1.491 2.259
I 1.199 4.473 2.259
I 4.473 4.181 6.778
I 7.455 7.747 6.778
As 0.000 0.000 0.000
As 5.964 2.982 4.519
Ga 2.982 2.982 0.000
Ga 2.982 5.964 4.519

=====

10
Lattice="7.366 0.000 0.000 0.000 7.366 0.000 0.000 0.000 5.010" Properties=species:S:1:pos:R:3 comment="GaAs2I2, relaxed, DFT GGA-PBE" e_tot_ev_per_atom=-2.804 density_g_cm3=5.783 relative_energy_ev_per_atom=0.029 sg="P4/mbm (127)" e_form_raw_ev_per_atom=0.2810 pbc="T T T"
I 1.465 5.149 2.505
I 5.149 5.901 2.505
I 5.901 2.218 2.505
I 2.218 1.465 2.505
As 2.766 6.449 0.000
As 6.449 4.601 0.000
As 4.601 0.918 0.000
As 0.918 2.766 0.000
Ga 0.000 0.000 0.000
Ga 3.683 3.683 0.000

=====

5
Lattice="-2.529 -0.423 4.584 3.398 -3.700 1.533 3.106 3.704 2.055" Properties=species:S:1:pos:R:3 comment="Ga3AsI, relaxed, DFT GGA-PBE" e_tot_ev_per_atom=-2.902 density_g_cm3=4.709 relative_energy_ev_per_atom=0.000 sg="Pm-3m (221)" e_form_raw_ev_per_atom=0.1543 pbc="T T T"
I 1.988 -0.209 4.086
As 0.000 0.000 0.000
Ga 1.699 -1.850 0.767
Ga 1.553 1.852 1.027
Ga -1.264 -0.211 2.292